1.
The following is a DFT calculation (GGA-PBE) of a geometry-optimized TaAs2Se structure.

Lattice parameters (Å, degrees): 4.9717 4.9717 4.9099 83.84 83.84 39.54
Fractional positions:
As (0.5334, 0.5334, 0.4466)
As (0.9666, 0.9666, 0.0534)
Se (0.7500, 0.7500, 0.7500)
Ta (0.2500, 0.2500, 0.2500)

=====

2.
The following is a DFT calculation (GGA-PBE) of a geometry-optimized TaAs2Se structure.

Lattice parameters (Å, degrees): 2.8329 2.8329 10.8104 90.00 90.00 90.00
Fractional positions:
Se (0.5000, 0.5000, 0.2500)
Ta (0.5000, 0.5000, 0.7500)
As (0.0000, 0.0000, 0.9390)
As (0.0000, 0.0000, 0.5610)

=====

3.
The following is a DFT calculation (GGA-PBE) of a geometry-optimized TaAs2Se structure.

Lattice parameters (Å, degrees): 4.9007 4.9007 3.8975 75.80 75.80 113.45
Fractional positions:
Ta (0.0000, 0.5000, 0.5000)
As (0.5000, 0.5000, 0.0000)
As (0.0000, 0.0000, 0.0000)
Se (0.5000, 0.0000, 0.5000)

=====

4.
The following is a DFT calculation (GGA-PBE) of a geometry-optimized TaAs2Se structure.

Lattice parameters (Å, degrees): 4.6630 4.6630 4.6630 60.00 60.00 60.00
Fractional positions:
As (0.0000, 0.0000, 0.0000)
As (0.2500, 0.2500, 0.2500)
Ta (0.7500, 0.7500, 0.7500)
Se (0.5000, 0.5000, 0.5000)

=====

5.
The following is a DFT calculation (GGA-PBE) of a geometry-optimized TaTcAsSe2 structure.

Lattice parameters (Å, degrees): 4.8242 4.8242 4.7067 90.00 90.00 90.00
Fractional positions:
Se (0.0000, 0.5000, 0.0000)
Se (0.5000, 0.0000, 0.0000)
Tc (0.0000, 0.0000, 0.0000)
As (0.0000, 0.0000, 0.5000)
Ta (0.5000, 0.5000, 0.5000)

## Properties
The value obtained for the polymorph energy (0 for the lowest one) is 27.9 kJ/mol of atoms.

=====

6.
The following is a DFT calculation (GGA-PBE) of a geometry-optimized TaTcAsSe2 structure.

Lattice parameters (Å, degrees): 4.9692 4.9692 5.0967 90.00 90.00 90.00
Fractional positions:
Se (0.0000, 0.5000, 0.0000)
Se (0.5000, 0.0000, 0.0000)
Tc (0.5000, 0.5000, 0.5000)
As (0.0000, 0.0000, 0.5000)
Ta (0.0000, 0.0000, 0.0000)

## Properties
The value obtained for the polymorph energy (0 for the lowest one) is 0.0 kJ/mol of atoms.

=====

no.,formation energy (no corrections) (eV per atom)
1,0.04
2,0.06
3,0.22
4,0.28
5,1.03
6,0.74